(1)
An optimized crystal structure of SmZn2Pt4. Source: the Alexandria database, functional PBE.

POSCAR file:
```
SmZn2Pt4
1.0
-3.874 -0.111 -4.805
4.199 -4.043 2.032
-4.089 -0.381 4.609
Pt Zn Sm
4 2 1
Cartesian
-1.658 -2.190 -1.431 Pt
-3.951 -1.446 1.704 Pt
-2.105 -2.345 3.267 Pt
0.188 -3.089 0.132 Pt
-3.900 -1.284 -0.791 Zn
0.136 -3.250 2.627 Zn
0.000 0.000 0.000 Sm
```

Output
Formation energy: -0.128 eV per atom
Total magnetization: 0.00 μB/f.u.
Theoretical density: 11.1 Mg/m³
DOS at the Fermi energy: 3.69 states/eV/f.u.
Symmetry: No. 139
E above lowest polymorph: 550 meV/atom

---

(2)
An optimized crystal structure of Cd3C5. Source: the Alexandria database, functional PBE.

POSCAR file:
```
Cd3C5
1.0
-2.191 -6.386 -3.753
6.493 4.074 0.953
-2.251 -2.404 9.497
C Cd
10 6
Cartesian
4.183 0.167 2.906 C
0.255 -1.631 4.885 C
1.125 -4.713 3.186 C
-0.787 -2.844 -1.298 C
1.033 -1.077 5.702 C
-1.554 -5.100 5.134 C
-2.314 -6.015 4.722 C
4.946 0.315 -0.756 C
3.225 0.675 3.545 C
1.722 -3.610 3.115 C
-1.351 -3.025 4.409 Cd
2.699 -1.894 4.037 Cd
2.001 -0.038 7.388 Cd
1.431 -3.306 7.309 Cd
-1.747 -3.387 8.153 Cd
-0.725 -4.609 0.588 Cd
```

Output
Formation energy: 1.156 eV per atom
Total magnetization: 0.00 μB/f.u.
Theoretical density: 3.9 Mg/m³
DOS at the Fermi energy: 0.69 states/eV/f.u.
Symmetry: No. 8
E above lowest polymorph: 0 meV/atom

---

(3)
An optimized crystal structure of Ca3Y. Source: the Alexandria database, functional PBE.

POSCAR file:
```
Ca3Y
1.0
-2.788 0.098 -5.393
-4.199 -3.850 2.101
-2.306 3.197 1.250
Ca Y
3 1
Cartesian
0.000 0.000 0.000 Ca
-3.494 -1.876 -1.646 Ca
-2.547 1.648 -2.071 Ca
-3.253 -0.326 1.676 Y
```

Output
Formation energy: 0.119 eV per atom
Total magnetization: 0.30 μB/f.u.
Theoretical density: 2.3 Mg/m³
DOS at the Fermi energy: 6.75 states/eV/f.u.
Symmetry: No. 123
E above lowest polymorph: 90 meV/atom

---

> Which value of theoretical density does entry 1 give?

11.1 Mg/m³